(1)
Tb14NdY | PBE | optimized geometry

CIF file:
```
data_Tb14NdY
_chemical_formula_sum 'Tb28 Nd2 Y2'
_cell_length_a 11.542
_cell_length_b 7.169
_cell_length_c 12.416
_cell_angle_alpha 90.00
_cell_angle_beta 90.00
_cell_angle_gamma 90.00
_space_group_name_H-M_alt 'A m m 2'
_space_group_IT_number 38
loop_
_space_group_symop_operation_xyz
'x,y,z'
'-x,-y,z'
'-x,y,z'
'x,-y,z'
'x,y+1/2,z+1/2'
'-x,-y+1/2,z+1/2'
'-x,y+1/2,z+1/2'
'x,-y+1/2,z+1/2'
loop_
_atom_site_label
_atom_site_fract_x
_atom_site_fract_y
_atom_site_fract_z
Tb1 0.000 0.000 0.000
Tb2 0.000 0.000 0.500
Tb3 0.000 0.250 0.250
Tb4 0.248 0.250 0.083
Tb5 0.249 0.000 0.333
Tb6 0.250 0.000 0.833
Tb7 0.500 0.250 0.416
Nd1 0.500 0.000 0.166
Y1 0.500 0.000 0.666
```

* calculated volume: 32.1 Å³ per atom
* ΔH_f (0 K): 0.001 eV/atom
* total energy: -4.753 eV per atom

***

(2)
TbNd2Y | PBE | optimized geometry

CIF file:
```
data_TbNd2Y
_chemical_formula_sum 'Tb3 Nd6 Y3'
_cell_length_a 3.6412
_cell_length_b 3.6412
_cell_length_c 35.2288
_cell_angle_alpha 90.00
_cell_angle_beta 90.00
_cell_angle_gamma 120.00
_space_group_name_H-M_alt 'R 3 m'
_space_group_IT_number 160
_space_group_name_Hall 'R 3 -2"'
loop_
_atom_site_label
_atom_site_fract_x
_atom_site_fract_y
_atom_site_fract_z
Tb1 0.0000 0.0000 0.0000
Nd1 0.0000 0.0000 0.4175
Nd2 0.0000 0.0000 0.5840
Y1 0.0000 0.0000 0.1673
```

* E above lowest polymorph: 1 meV per atom
* calculated volume: 33.7 Å³ per atom
* ΔH_f (0 K): 0.014 eV/atom
* total energy: -5.143 eV per atom

***

(3)
Tb4Nd2Y5 | PBE | optimized geometry

CIF file:
```
data_Tb4Nd2Y5
_chemical_formula_sum 'Tb8 Nd4 Y10'
_cell_length_a 24.005
_cell_length_b 3.479
_cell_length_c 8.789
_cell_angle_alpha 90.00
_cell_angle_beta 96.25
_cell_angle_gamma 90.00
_space_group_name_H-M_alt 'C 1 2/m 1'
_space_group_IT_number 12
loop_
_space_group_symop_operation_xyz
'x,y,z'
'-x,-y,-z'
'-x,y,-z'
'x,-y,z'
'x+1/2,y+1/2,z'
'-x+1/2,-y+1/2,-z'
'-x+1/2,y+1/2,-z'
'x+1/2,-y+1/2,z'
loop_
_atom_site_label
_atom_site_fract_x
_atom_site_fract_y
_atom_site_fract_z
Tb1 0.046 0.000 0.361
Tb2 0.177 0.500 0.472
Nd1 0.091 0.000 0.739
Y1 0.000 0.500 0.000
Y2 0.141 0.000 0.120
Y3 0.232 0.000 0.825
```

* E above lowest polymorph: 0 meV per atom
* calculated volume: 33.2 Å³ per atom
* ΔH_f (0 K): 0.149 eV/atom
* total energy: -5.340 eV per atom

***

(4)
Tb2NdY2 | PBE | optimized geometry

CIF file:
```
data_Tb2NdY2
_chemical_formula_sum 'Tb8 Nd4 Y8'
_cell_length_a 12.458
_cell_length_b 5.853
_cell_length_c 9.626
_cell_angle_alpha 90.00
_cell_angle_beta 109.94
_cell_angle_gamma 90.00
_space_group_name_H-M_alt 'C 1 2/m 1'
_space_group_IT_number 12
loop_
_space_group_symop_operation_xyz
'x,y,z'
'-x,-y,-z'
'-x,y,-z'
'x,-y,z'
'x+1/2,y+1/2,z'
'-x+1/2,-y+1/2,-z'
'-x+1/2,y+1/2,-z'
'x+1/2,-y+1/2,z'
loop_
_atom_site_label
_atom_site_fract_x
_atom_site_fract_y
_atom_site_fract_z
Tb1 0.154 0.000 0.044
Tb2 0.237 0.500 0.264
Nd1 0.050 0.000 0.347
Y1 0.054 0.500 0.867
Y2 0.145 0.500 0.572
```

* E above lowest polymorph: 32 meV per atom
* calculated volume: 33.0 Å³ per atom
* ΔH_f (0 K): 0.114 eV/atom
* total energy: -5.277 eV per atom

***

(5)
TbNd4Y6 | PBE | optimized geometry

CIF file:
```
data_TbNd4Y6
_chemical_formula_sum 'Tb4 Nd16 Y24'
_cell_length_a 5.802
_cell_length_b 9.748
_cell_length_c 26.068
_cell_angle_alpha 90.00
_cell_angle_beta 90.00
_cell_angle_gamma 90.00
_space_group_name_H-M_alt 'C m c m'
_space_group_IT_number 63
_space_group_name_Hall '-C 2c 2'
loop_
_atom_site_label
_atom_site_fract_x
_atom_site_fract_y
_atom_site_fract_z
Tb1 0.000 0.184 0.250
Nd1 0.000 0.156 0.545
Nd2 0.000 0.470 0.622
Y1 0.000 0.145 0.683
Y2 0.000 0.190 0.106
Y3 0.000 0.482 0.750
Y4 0.000 0.500 0.000
```

* E above lowest polymorph: 0 meV per atom
* calculated volume: 33.5 Å³ per atom
* ΔH_f (0 K): 0.113 eV/atom
* total energy: -5.568 eV per atom

***

(6)
TbNdY5 | PBE | optimized geometry

CIF file:
```
data_TbNdY5
_chemical_formula_sum 'Tb4 Nd4 Y20'
_cell_length_a 6.326
_cell_length_b 22.862
_cell_length_c 6.626
_cell_angle_alpha 90.00
_cell_angle_beta 104.01
_cell_angle_gamma 90.00
_space_group_name_H-M_alt 'C 1 2/c 1'
_space_group_IT_number 15
loop_
_space_group_symop_operation_xyz
'x,y,z'
'-x,-y,-z'
'-x,y,-z+1/2'
'x,-y,z+1/2'
'x+1/2,y+1/2,z'
'-x+1/2,-y+1/2,-z'
'-x+1/2,y+1/2,-z+1/2'
'x+1/2,-y+1/2,z+1/2'
loop_
_atom_site_label
_atom_site_fract_x
_atom_site_fract_y
_atom_site_fract_z
Tb1 0.000 0.166 0.250
Nd1 0.000 0.419 0.250
Y1 0.000 0.146 0.750
Y2 0.026 0.294 0.999
Y3 0.226 0.044 0.139
```

* E above lowest polymorph: 19 meV per atom
* calculated volume: 33.2 Å³ per atom
* ΔH_f (0 K): 0.200 eV/atom
* total energy: -5.760 eV per atom

***

(7)
Tb2Nd4Y3 | PBE | optimized geometry

CIF file:
```
data_Tb2Nd4Y3
_chemical_formula_sum 'Tb4 Nd8 Y6'
_cell_length_a 11.411
_cell_length_b 5.126
_cell_length_c 10.858
_cell_angle_alpha 90.00
_cell_angle_beta 108.20
_cell_angle_gamma 90.00
_space_group_name_H-M_alt 'C 1 2/m 1'
_space_group_IT_number 12
loop_
_space_group_symop_operation_xyz
'x,y,z'
'-x,-y,-z'
'-x,y,-z'
'x,-y,z'
'x+1/2,y+1/2,z'
'-x+1/2,-y+1/2,-z'
'-x+1/2,y+1/2,-z'
'x+1/2,-y+1/2,z'
loop_
_atom_site_label
_atom_site_fract_x
_atom_site_fract_y
_atom_site_fract_z
Tb1 0.168 0.000 0.223
Nd1 0.000 0.500 0.332
Nd2 0.167 0.000 0.888
Y1 0.000 0.500 0.000
Y2 0.166 0.000 0.555
```

* E above lowest polymorph: 0 meV per atom
* calculated volume: 33.5 Å³ per atom
* ΔH_f (0 K): 0.016 eV/atom
* total energy: -5.287 eV per atom

***

(8)
Tb2Nd2Y5 | PBE | optimized geometry

CIF file:
```
data_Tb2Nd2Y5
_chemical_formula_sum 'Tb8 Nd8 Y20'
_cell_length_a 15.022
_cell_length_b 11.861
_cell_length_c 6.804
_cell_angle_alpha 90.00
_cell_angle_beta 90.00
_cell_angle_gamma 90.00
_space_group_name_H-M_alt 'I m a 2'
_space_group_IT_number 46
loop_
_space_group_symop_operation_xyz
'x,y,z'
'-x,-y,z'
'-x+1/2,y,z'
'x+1/2,-y,z'
'x+1/2,y+1/2,z+1/2'
'-x+1/2,-y+1/2,z+1/2'
'-x,y+1/2,z+1/2'
'x,-y+1/2,z+1/2'
loop_
_atom_site_label
_atom_site_fract_x
_atom_site_fract_y
_atom_site_fract_z
Tb1 0.127 0.004 0.000
Nd1 0.000 0.000 0.548
Nd2 0.250 0.509 0.948
Y1 0.053 0.244 0.353
Y2 0.143 0.735 0.163
Y3 0.250 0.248 0.157
```

* E above lowest polymorph: 0 meV per atom
* calculated volume: 33.7 Å³ per atom
* ΔH_f (0 K): 0.222 eV/atom
* total energy: -5.458 eV per atom

***

(9)
TbNdY3 | PBE | optimized geometry

CIF file:
```
data_TbNdY3
_chemical_formula_sum 'Tb2 Nd2 Y6'
_cell_length_a 6.312
_cell_length_b 5.737
_cell_length_c 9.659
_cell_angle_alpha 90.00
_cell_angle_beta 108.82
_cell_angle_gamma 90.00
_space_group_name_H-M_alt 'P 1 21/m 1'
_space_group_IT_number 11
loop_
_space_group_symop_operation_xyz
'x,y,z'
'-x,-y,-z'
'-x,y+1/2,-z'
'x,-y+1/2,z'
loop_
_atom_site_label
_atom_site_fract_x
_atom_site_fract_y
_atom_site_fract_z
Tb1 0.231 0.250 0.301
Nd1 0.368 0.750 0.899
Y1 0.034 0.250 0.898
Y2 0.168 0.750 0.501
Y3 0.435 0.250 0.697
```

* E above lowest polymorph: 0 meV per atom
* calculated volume: 33.1 Å³ per atom
* ΔH_f (0 K): 0.010 eV/atom
* total energy: -5.748 eV per atom

***

(10)
Tb12NdY6 | PBE | optimized geometry

CIF file:
```
data_Tb12NdY6
_chemical_formula_sum 'Tb36 Nd3 Y18'
_cell_length_a 11.9982
_cell_length_b 11.9982
_cell_length_c 15.1335
_cell_angle_alpha 90.00
_cell_angle_beta 90.00
_cell_angle_gamma 120.00
_space_group_name_H-M_alt 'R -3'
_space_group_IT_number 148
_space_group_name_Hall '-R 3'
loop_
_atom_site_label
_atom_site_fract_x
_atom_site_fract_y
_atom_site_fract_z
Tb1 0.0168 0.1800 0.1922
Tb2 0.0415 0.1903 0.4166
Nd1 0.0000 0.0000 0.0000
Y1 0.0087 0.5868 0.6806
```

* E above lowest polymorph: 0 meV per atom
* calculated volume: 33.1 Å³ per atom
* ΔH_f (0 K): 0.154 eV/atom
* total energy: -5.063 eV per atom

***

(11)
TbNd12Y2 | PBE | optimized geometry

CIF file:
```
data_TbNd12Y2
_chemical_formula_sum 'Tb4 Nd48 Y8'
_cell_length_a 7.236
_cell_length_b 11.672
_cell_length_c 25.019
_cell_angle_alpha 90.00
_cell_angle_beta 90.00
_cell_angle_gamma 90.00
_space_group_name_H-M_alt 'C m m e'
_space_group_IT_number 67
_space_group_name_Hall '-C 2a 2'
loop_
_atom_site_label
_atom_site_fract_x
_atom_site_fract_y
_atom_site_fract_z
Tb1 0.000 0.250 0.001
Nd1 0.000 0.002 0.926
Nd2 0.000 0.024 0.440
Nd3 0.230 0.250 0.585
Nd4 0.248 0.250 0.130
Nd5 0.250 0.000 0.198
Nd6 0.250 0.000 0.325
Y1 0.000 0.250 0.271
Y2 0.000 0.250 0.733
```

* calculated volume: 35.2 Å³ per atom
* ΔH_f (0 K): 0.150 eV/atom
* total energy: -4.835 eV per atom

***

(12)
Tb6Nd3Y | PBE | optimized geometry

CIF file:
```
data_Tb6Nd3Y
_chemical_formula_sum 'Tb12 Nd6 Y2'
_cell_length_a 11.612
_cell_length_b 6.633
_cell_length_c 9.778
_cell_angle_alpha 90.00
_cell_angle_beta 115.20
_cell_angle_gamma 90.00
_space_group_name_H-M_alt 'C 1 2/m 1'
_space_group_IT_number 12
loop_
_space_group_symop_operation_xyz
'x,y,z'
'-x,-y,-z'
'-x,y,-z'
'x,-y,z'
'x+1/2,y+1/2,z'
'-x+1/2,-y+1/2,-z'
'-x+1/2,y+1/2,-z'
'x+1/2,-y+1/2,z'
loop_
_atom_site_label
_atom_site_fract_x
_atom_site_fract_y
_atom_site_fract_z
Tb1 0.137 0.000 0.422
Tb2 0.186 0.245 0.812
Nd1 0.000 0.500 0.500
Nd2 0.070 0.500 0.201
Y1 0.000 0.000 0.000
```

* E above lowest polymorph: 73 meV per atom
* calculated volume: 34.1 Å³ per atom
* ΔH_f (0 K): 0.222 eV/atom
* total energy: -4.633 eV per atom